Tb2Pm3Ir2 | GGA-PBE | relaxed

- DFT total energy: -6.434 eV per atom
- Energy of formation: -0.5437 eV/atom
- Space group: C2/m (12)

a = 3.9277 Å, b = 6.4354 Å, c = 8.9654 Å
α = 114.14°, β = 90.00°, γ = 107.77°
Last column: nearest neighbours and their distance in Å.
Element x y z (fractional)
Tb 0.1709 0.3418 0.8114  2 Ir 2.82
Pm 0.5000 0.0000 0.0000  4 Ir 3.05
Tb 0.8291 0.6582 0.1886  2 Ir 2.82
Ir 0.1830 0.3661 0.2376  2 Tb 2.82, 5 Pm 2.94-3.05
Pm 0.6164 0.2328 0.4277  3 Ir 2.94-2.95
Ir 0.8170 0.6339 0.7624  2 Tb 2.82, 5 Pm 2.94-3.05
Pm 0.3836 0.7672 0.5723  3 Ir 2.94-2.95